# GGA-PBE Ba2Mg4Tl3Hg, relaxed
data_Ba2Mg4Tl3Hg
_cell_length_a 5.079
_cell_length_b 5.079
_cell_length_c 11.773
_cell_angle_alpha 90.00
_cell_angle_beta 90.00
_cell_angle_gamma 90.00
_symmetry_space_group_name_H-M 'P -4 m 2'
_symmetry_Int_Tables_number 115
_symmetry_space_group_name_Hall 'P -4 -2'
loop_
_atom_site_label
_atom_site_fract_x
_atom_site_fract_y
_atom_site_fract_z
Ba1 0.000 0.500 0.247
Mg1 0.000 0.000 0.500
Mg2 0.000 0.500 0.878
Mg3 0.500 0.500 0.500
Tl1 0.000 0.000 0.000
Tl2 0.000 0.500 0.634
Hg1 0.500 0.500 0.000
# * DFT formation energy: -259 meV/atom
# * volume: 30.4 Å³/atom
# * DOS at the Fermi energy: 8.0 states/eV/cell
# * magnetic moment: 0.00 Bohr magnetons per cell